TbPr2Tm4 | PBE-GGA | relaxed

extended XYZ file:
```
14
Lattice="6.7425 0.0000 0.0000 1.8472 8.2545 0.0000 2.8400 3.2641 8.1538" Properties=species:S:1:pos:R:3 pbc="T T T"
Tb 0.0000 0.0000 0.0000
Tb 4.2671 8.1066 4.4495
Pr 2.8599 5.6563 2.3126
Pr 5.2611 5.4484 6.8132
Pr 6.6782 8.7309 6.9731
Pr 6.2430 5.2385 3.2985
Tm 1.4351 2.3995 2.1356
Tm 3.8205 3.0137 4.6467
Tm 5.2872 7.9010 0.9689
Tm 4.8347 2.7988 1.1728
Tm 7.6629 8.5132 3.4933
Tm 7.2518 2.6443 5.6191
Tm 8.6459 5.8684 5.8257
Tm 10.0194 8.2827 7.9481
```

Summary:
Total DFT energy (no corrections)   -4.567 eV/atom
Energy above the lowest structure with this stoichiometry   0.00 kcal/mol of atoms

Tb2Pr7Tm3 | PBE-GGA | relaxed

extended XYZ file:
```
12
Lattice="5.9009 0.0000 0.0000 0.0000 3.6414 0.0000 -1.3678 0.0000 19.1118" Properties=species:S:1:pos:R:3 pbc="T T T"
Tb 0.7937 0.0000 5.7140
Tb 3.7393 0.0000 13.3978
Pr 0.7958 1.8207 2.7778
Pr 0.7876 0.0000 8.8976
Pr 0.8174 0.0000 15.5810
Pr 2.9504 1.8207 0.0000
Pr 3.7156 0.0000 3.5308
Pr 3.7454 0.0000 10.2142
Pr 3.7373 1.8207 16.3340
Tm 0.0000 0.0000 0.0000
Tm 0.8117 1.8207 12.0797
Tm 3.7213 1.8207 7.0321
```

Summary:
Total DFT energy (no corrections)   -4.584 eV/atom
Energy above the lowest structure with this stoichiometry   0.57 kcal/mol of atoms

Total moment list, top to bottom, in μB/atom: 0.00, 0.00
Formation energy from the elements list, top to bottom, in meV per atom: 14.9, 93.9